Record 1
Density functional theory data (PBE-GGA) for crystalline Sr2HgAs3Pd4 at its relaxed geometry.

```
10
Lattice="-2.0935 -3.9552 -0.4496 1.4432 -0.2808 -4.2505 8.6559 -4.9529 3.2663" Properties=species:S:1:pos:R:3 pbc="T T T"
Sr 1.0668 -3.1870 0.5728
Sr 7.2639 -3.8839 0.3435
Hg 4.0028 -4.5944 -0.7169
As 4.3279 -2.4764 1.6331
As 6.5603 -6.3303 2.6457
As 1.7705 -0.7405 -1.7295
Pd -0.3251 -2.1180 -2.3500
Pd 0.0000 0.0000 0.0000
Pd 4.5387 -5.1736 1.8829
Pd 3.7920 -1.8973 -0.9666
```

Summary:
The final energy is -4.523 eV/atom. The value obtained for the total magnetization is 0.0 μB per cell. For the formation energy, the calculation gives -660 kJ/mol of formula units. The calculation puts the density of states at the Fermi level at 5.0 states/eV per cell.



Record 2
Density functional theory data (PBE-GGA) for crystalline SrHgAs2Pd5 at its relaxed geometry.

```
9
Lattice="-1.6988 -2.5831 3.6571 -1.3630 -3.4274 -3.0541 6.7754 -3.3748 0.7636" Properties=species:S:1:pos:R:3 pbc="T T T"
Sr 3.3877 -1.6874 0.3818
Hg 0.0000 0.0000 0.0000
As -0.3964 -3.5704 0.4294
As 4.1100 -5.8150 0.9372
Pd 0.9654 -2.5340 -1.3414
Pd 0.7975 -2.1119 2.0141
Pd 4.4470 -4.2682 -0.9491
Pd 4.2791 -3.8461 2.4065
Pd 1.8568 -4.6927 0.6833
```

Summary:
The final energy is -4.517 eV/atom. The value obtained for the total magnetization is 0.0 μB per cell. For the formation energy, the calculation gives -329 kJ/mol of formula units. The calculation puts the density of states at the Fermi level at 4.3 states/eV per cell.